--- 1 ---
The following is a PBE calculation of a geometry-optimized CaP3Br structure, from Alexandria.

a b c (Å): 4.9016 4.9016 4.9016
angles (deg): 90.00 90.00 90.00
Fractional positions:
Ca 0.0000 0.0000 0.0000
P 0.0000 0.5000 0.5000
P 0.5000 0.0000 0.5000
P 0.5000 0.5000 0.0000
Br 0.5000 0.5000 0.5000

Output
For the total magnetic moment, the calculation gives 0.0 Bohr magnetons per cell.

---

--- 2 ---
The following is a PBE calculation of a geometry-optimized CaP3Br structure, from Alexandria.

a b c (Å): 5.3331 5.3331 5.3331
angles (deg): 90.00 90.00 90.00
Fractional positions:
Ca 0.0000 0.0000 0.0000
P 0.0000 0.0000 0.5000
P 0.0000 0.5000 0.0000
P 0.5000 0.0000 0.0000
Br 0.5000 0.5000 0.5000

Output
For the total magnetic moment, the calculation gives 2.0 Bohr magnetons per cell.

---

What should be chosen as the least stable of them? Choose 2.

---

--- 1 ---
The following is a PBE calculation of a geometry-optimized CaPS2Br structure, from Alexandria.

a b c (Å): 4.8857 4.8857 4.9372
angles (deg): 90.00 90.00 90.00
Fractional positions:
Ca 0.0000 0.0000 0.0000
P 0.5000 0.5000 0.0000
S 0.0000 0.5000 0.5000
S 0.5000 0.0000 0.5000
Br 0.5000 0.5000 0.5000

Output
For the total magnetic moment, the calculation gives 0.0 Bohr magnetons per cell.

---

--- 2 ---
The following is a PBE calculation of a geometry-optimized CaPS2Br structure, from Alexandria.

a b c (Å): 5.2599 5.2599 5.8153
angles (deg): 90.00 90.00 90.00
Fractional positions:
Ca 0.0000 0.0000 0.0000
P 0.0000 0.0000 0.5000
S 0.0000 0.5000 0.0000
S 0.5000 0.0000 0.0000
Br 0.5000 0.5000 0.5000

Output
For the total magnetic moment, the calculation gives 3.5 Bohr magnetons per cell.

---

What should be chosen as the least stable of them? Choose 2.

---

--- 1 ---
The following is a PBE calculation of a geometry-optimized Ca2PbBr structure, from Alexandria.

a b c (Å): 5.2884 3.7949 12.3300
angles (deg): 90.00 90.00 90.00
Fractional positions:
Ca 0.0000 0.0000 0.0000
Ca 0.0000 0.5000 0.5000
Ca 0.5000 0.0000 0.2537
Ca 0.5000 0.5000 0.7537
Pb 0.5000 0.0000 0.5204
Pb 0.5000 0.5000 0.0204
Br 0.0000 0.0000 0.7640
Br 0.0000 0.5000 0.2640

Output
For the total magnetic moment, the calculation gives 0.0 Bohr magnetons per cell.

---

--- 2 ---
The following is a PBE calculation of a geometry-optimized Ca2PbBr structure, from Alexandria.

a b c (Å): 4.4552 4.4552 12.8881
angles (deg): 90.00 90.00 90.00
Fractional positions:
Ca 0.0000 0.0000 0.0000
Ca 0.0000 0.5000 0.2500
Ca 0.5000 0.0000 0.7500
Ca 0.5000 0.5000 0.5000
Pb 0.0000 0.5000 0.7500
Pb 0.5000 0.0000 0.2500
Br 0.0000 0.0000 0.5000
Br 0.5000 0.5000 0.0000

Output
For the total magnetic moment, the calculation gives 0.0 Bohr magnetons per cell.

---

--- 3 ---
The following is a PBE calculation of a geometry-optimized Ca2PbBr structure, from Alexandria.

a b c (Å): 4.2694 4.2694 24.9640
angles (deg): 90.00 90.00 120.00
Fractional positions:
Ca 0.0000 0.0000 0.0000
Ca 0.0000 0.0000 0.1751
Ca 0.3333 0.6667 0.6667
Ca 0.3333 0.6667 0.8417
Ca 0.6667 0.3333 0.3333
Ca 0.6667 0.3333 0.5084
Pb 0.0000 0.0000 0.5872
Pb 0.3333 0.6667 0.2539
Pb 0.6667 0.3333 0.9205
Br 0.0000 0.0000 0.4158
Br 0.3333 0.6667 0.0825
Br 0.6667 0.3333 0.7491

Output
For the total magnetic moment, the calculation gives 0.0 Bohr magnetons per cell.

---

--- 4 ---
The following is a PBE calculation of a geometry-optimized Ca2PbBr structure, from Alexandria.

a b c (Å): 8.9387 3.9246 9.0621
angles (deg): 90.00 117.52 90.00
Fractional positions:
Ca 0.1930 0.0000 0.2803
Ca 0.3070 0.5000 0.7197
Ca 0.6930 0.5000 0.2803
Ca 0.8070 0.0000 0.7197
Pb 0.0000 0.0000 0.5000
Pb 0.5000 0.5000 0.5000
Br 0.0000 0.5000 0.0000
Br 0.5000 0.0000 0.0000

Output
For the total magnetic moment, the calculation gives 0.0 Bohr magnetons per cell.

---

What should be chosen as the least stable of them? Choose 2.

---

--- 1 ---
The following is a PBE calculation of a geometry-optimized Ca2PbBr6 structure, from Alexandria.

a b c (Å): 7.7031 7.7031 10.6164
angles (deg): 95.42 95.42 36.71
Fractional positions:
Ca 0.2438 0.2438 0.3222
Ca 0.7562 0.7562 0.6778
Pb 0.5000 0.5000 0.0000
Br 0.1283 0.1283 0.0870
Br 0.3318 0.3318 0.5911
Br 0.4174 0.4174 0.2464
Br 0.5826 0.5826 0.7536
Br 0.6682 0.6682 0.4089
Br 0.8717 0.8717 0.9130

Output
For the total magnetic moment, the calculation gives 0.0 Bohr magnetons per cell.

---

--- 2 ---
The following is a PBE calculation of a geometry-optimized Ca2PbBr6 structure, from Alexandria.

a b c (Å): 9.5642 9.5642 8.5484
angles (deg): 100.67 100.67 26.23
Fractional positions:
Ca 0.1683 0.1683 0.3366
Ca 0.8317 0.8317 0.6634
Pb 0.5000 0.5000 0.0000
Br 0.0082 0.0082 0.2555
Br 0.3277 0.3277 0.4305
Br 0.3330 0.3330 0.8956
Br 0.6670 0.6670 0.1044
Br 0.6723 0.6723 0.5695
Br 0.9918 0.9918 0.7445

Output
For the total magnetic moment, the calculation gives 0.0 Bohr magnetons per cell.

---

What should be chosen as the least stable of them? Choose 1.

---

--- 1 ---
The following is a PBE calculation of a geometry-optimized Ca2PdBr2 structure, from Alexandria.

a b c (Å): 7.9932 7.9932 4.2696
angles (deg): 90.00 90.00 90.00
Fractional positions:
Ca 0.1805 0.3195 0.0000
Ca 0.3195 0.8195 0.0000
Ca 0.6805 0.1805 0.0000
Ca 0.8195 0.6805 0.0000
Pd 0.0000 0.0000 0.0000
Pd 0.5000 0.5000 0.0000
Br 0.1423 0.6423 0.5000
Br 0.3577 0.1423 0.5000
Br 0.6423 0.8577 0.5000
Br 0.8577 0.3577 0.5000

Output
For the total magnetic moment, the calculation gives 0.0 Bohr magnetons per cell.

---

--- 2 ---
The following is a PBE calculation of a geometry-optimized Ca2PdBr2 structure, from Alexandria.

a b c (Å): 4.6129 4.6129 14.3192
angles (deg): 90.00 90.00 90.00
Fractional positions:
Ca 0.0000 0.0000 0.1251
Ca 0.0000 0.0000 0.8749
Ca 0.5000 0.5000 0.3749
Ca 0.5000 0.5000 0.6251
Pd 0.0000 0.0000 0.5000
Pd 0.5000 0.5000 0.0000
Br 0.0000 0.5000 0.2500
Br 0.0000 0.5000 0.7500
Br 0.5000 0.0000 0.2500
Br 0.5000 0.0000 0.7500

Output
For the total magnetic moment, the calculation gives 0.0 Bohr magnetons per cell.

---

What should be chosen as the least stable of them? Choose 2.

---

--- 1 ---
The following is a PBE calculation of a geometry-optimized CaPdSe2Br structure, from Alexandria.

a b c (Å): 5.0138 5.0138 5.1148
angles (deg): 90.00 90.00 90.00
Fractional positions:
Ca 0.0000 0.0000 0.0000
Pd 0.5000 0.5000 0.5000
Se 0.0000 0.5000 0.5000
Se 0.5000 0.0000 0.5000
Br 0.5000 0.5000 0.0000

Output
For the total magnetic moment, the calculation gives 0.0 Bohr magnetons per cell.

---

--- 2 ---
The following is a PBE calculation of a geometry-optimized CaPdSe2Br structure, from Alexandria.

a b c (Å): 5.5449 5.5449 5.4533
angles (deg): 90.00 90.00 90.00
Fractional positions:
Ca 0.0000 0.0000 0.0000
Pd 0.5000 0.5000 0.5000
Se 0.0000 0.5000 0.0000
Se 0.5000 0.0000 0.0000
Br 0.0000 0.0000 0.5000

Output
For the total magnetic moment, the calculation gives 2.5 Bohr magnetons per cell.

---

What should be chosen as the least stable of them? Choose 2.

---

--- 1 ---
The following is a PBE calculation of a geometry-optimized CaPdSeBr2 structure, from Alexandria.

a b c (Å): 5.0676 5.0676 5.1981
angles (deg): 90.00 90.00 90.00
Fractional positions:
Ca 0.0000 0.0000 0.0000
Pd 0.5000 0.5000 0.5000
Se 0.5000 0.5000 0.0000
Br 0.0000 0.5000 0.5000
Br 0.5000 0.0000 0.5000

Output
For the total magnetic moment, the calculation gives 0.0 Bohr magnetons per cell.

---

--- 2 ---
The following is a PBE calculation of a geometry-optimized CaPdSeBr2 structure, from Alexandria.

a b c (Å): 5.5204 5.5204 5.7471
angles (deg): 90.00 90.00 90.00
Fractional positions:
Ca 0.0000 0.0000 0.0000
Pd 0.5000 0.5000 0.5000
Se 0.0000 0.0000 0.5000
Br 0.0000 0.5000 0.0000
Br 0.5000 0.0000 0.0000

Output
For the total magnetic moment, the calculation gives 2.1 Bohr magnetons per cell.

---

What should be chosen as the least stable of them? Choose 2.

---

--- 1 ---
The following is a PBE calculation of a geometry-optimized CaPtBr2 structure, from Alexandria.

a b c (Å): 6.8982 8.5754 4.9582
angles (deg): 90.00 133.87 90.00
Fractional positions:
Ca 0.0000 0.0000 0.0000
Ca 0.5000 0.5000 0.0000
Pt 0.0000 0.5000 0.0000
Pt 0.5000 0.0000 0.0000
Br 0.2500 0.2500 0.5000
Br 0.2500 0.7500 0.5000
Br 0.7500 0.2500 0.5000
Br 0.7500 0.7500 0.5000

Output
For the total magnetic moment, the calculation gives 0.0 Bohr magnetons per cell.

---

--- 2 ---
The following is a PBE calculation of a geometry-optimized CaPtBr2 structure, from Alexandria.

a b c (Å): 3.9451 3.9451 6.6644
angles (deg): 90.00 90.00 90.00
Fractional positions:
Ca 0.0000 0.0000 0.0000
Pt 0.5000 0.5000 0.1820
Br 0.0000 0.0000 0.4177
Br 0.5000 0.5000 0.8165

Output
For the total magnetic moment, the calculation gives 0.0 Bohr magnetons per cell.

---

--- 3 ---
The following is a PBE calculation of a geometry-optimized CaPtBr2 structure, from Alexandria.

a b c (Å): 7.2069 7.2069 7.2069
angles (deg): 90.00 90.00 90.00
Fractional positions:
Ca 0.0000 0.0000 0.0000
Ca 0.0000 0.5000 0.5000
Ca 0.5000 0.0000 0.5000
Ca 0.5000 0.5000 0.0000
Pt 0.2500 0.2500 0.2500
Pt 0.2500 0.7500 0.7500
Pt 0.7500 0.2500 0.7500
Pt 0.7500 0.7500 0.2500
Br 0.0000 0.0000 0.5000
Br 0.0000 0.5000 0.0000
Br 0.2500 0.2500 0.7500
Br 0.2500 0.7500 0.2500
Br 0.5000 0.0000 0.0000
Br 0.5000 0.5000 0.5000
Br 0.7500 0.2500 0.2500
Br 0.7500 0.7500 0.7500

Output
For the total magnetic moment, the calculation gives 0.0 Bohr magnetons per cell.

---

What should be chosen as the least stable of them? Choose 3.

---

--- 1 ---
The following is a PBE calculation of a geometry-optimized CaPtBr2 structure, from Alexandria.

a b c (Å): 3.9253 4.1261 5.7941
angles (deg): 90.00 90.00 90.00
Fractional positions:
Ca 0.0000 0.0000 0.0000
Pt 0.5000 0.0000 0.5000
Br 0.0000 0.5000 0.5000
Br 0.5000 0.5000 0.0000

Output
For the total magnetic moment, the calculation gives 0.0 Bohr magnetons per cell.

---

--- 2 ---
The following is a PBE calculation of a geometry-optimized CaPtBr2 structure, from Alexandria.

a b c (Å): 4.0282 4.0282 11.4413
angles (deg): 90.00 90.00 90.00
Fractional positions:
Ca 0.0000 0.0000 0.0000
Ca 0.5000 0.5000 0.5000
Pt 0.0000 0.5000 0.7500
Pt 0.5000 0.0000 0.2500
Br 0.0000 0.0000 0.5000
Br 0.0000 0.5000 0.2500
Br 0.5000 0.0000 0.7500
Br 0.5000 0.5000 0.0000

Output
For the total magnetic moment, the calculation gives 0.0 Bohr magnetons per cell.

---

What should be chosen as the least stable of them? Choose 1.

---

--- 1 ---
The following is a PBE calculation of a geometry-optimized CaPtBr2 structure, from Alexandria.

a b c (Å): 7.1295 7.1295 7.1295
angles (deg): 90.00 90.00 90.00
Fractional positions:
Ca 0.0000 0.0000 0.0000
Ca 0.0000 0.5000 0.5000
Ca 0.5000 0.0000 0.5000
Ca 0.5000 0.5000 0.0000
Pt 0.0000 0.0000 0.5000
Pt 0.0000 0.5000 0.0000
Pt 0.5000 0.0000 0.0000
Pt 0.5000 0.5000 0.5000
Br 0.2500 0.2500 0.2500
Br 0.2500 0.2500 0.7500
Br 0.2500 0.7500 0.2500
Br 0.2500 0.7500 0.7500
Br 0.7500 0.2500 0.2500
Br 0.7500 0.2500 0.7500
Br 0.7500 0.7500 0.2500
Br 0.7500 0.7500 0.7500

Output
For the total magnetic moment, the calculation gives 0.0 Bohr magnetons per cell.

---

--- 2 ---
The following is a PBE calculation of a geometry-optimized CaPtBr2 structure, from Alexandria.

a b c (Å): 4.5763 4.5763 15.6243
angles (deg): 90.00 90.00 120.00
Fractional positions:
Ca 0.0000 0.0000 0.0000
Ca 0.3333 0.6667 0.6667
Ca 0.6667 0.3333 0.3333
Pt 0.0000 0.0000 0.5000
Pt 0.3333 0.6667 0.1667
Pt 0.6667 0.3333 0.8333
Br 0.0000 0.0000 0.2424
Br 0.0000 0.0000 0.7576
Br 0.3333 0.6667 0.4242
Br 0.3333 0.6667 0.9091
Br 0.6667 0.3333 0.0909
Br 0.6667 0.3333 0.5758

Output
For the total magnetic moment, the calculation gives 0.0 Bohr magnetons per cell.

---

What should be chosen as the least stable of them? Choose 1.

---

--- 1 ---
The following is a PBE calculation of a geometry-optimized CaPtBr2 structure, from Alexandria.

a b c (Å): 4.4811 6.6302 6.8673
angles (deg): 90.00 90.00 90.00
Fractional positions:
Ca 0.0000 0.0000 0.0000
Ca 0.5000 0.5000 0.0000
Pt 0.0000 0.0000 0.5000
Pt 0.5000 0.5000 0.5000
Br 0.0000 0.5000 0.2614
Br 0.0000 0.5000 0.7386
Br 0.5000 0.0000 0.2614
Br 0.5000 0.0000 0.7386

Output
For the total magnetic moment, the calculation gives 0.0 Bohr magnetons per cell.

---

--- 2 ---
The following is a PBE calculation of a geometry-optimized CaPtBr2 structure, from Alexandria.

a b c (Å): 14.2009 3.9979 4.5822
angles (deg): 90.00 91.13 90.00
Fractional positions:
Ca 0.0000 0.0000 0.0000
Ca 0.5000 0.5000 0.0000
Pt 0.0000 0.5000 0.5000
Pt 0.5000 0.0000 0.5000
Br 0.1432 0.5000 0.2198
Br 0.3568 0.0000 0.7802
Br 0.6432 0.0000 0.2198
Br 0.8568 0.5000 0.7802

Output
For the total magnetic moment, the calculation gives 0.0 Bohr magnetons per cell.

---

--- 3 ---
The following is a PBE calculation of a geometry-optimized CaPtBr2 structure, from Alexandria.

a b c (Å): 15.2494 3.7360 3.9937
angles (deg): 90.00 104.59 90.00
Fractional positions:
Ca 0.0000 0.0000 0.0000
Ca 0.5000 0.5000 0.0000
Pt 0.3488 0.0000 0.8545
Pt 0.8488 0.5000 0.8545
Br 0.0894 0.5000 0.5859
Br 0.3446 0.5000 0.3503
Br 0.5894 0.0000 0.5859
Br 0.8446 0.0000 0.3503

Output
For the total magnetic moment, the calculation gives 0.0 Bohr magnetons per cell.

---

What should be chosen as the least stable of them? Choose 1.

---

--- 1 ---
The following is a PBE calculation of a geometry-optimized CaPtBr structure, from Alexandria.

a b c (Å): 3.3527 3.3527 12.5476
angles (deg): 90.00 90.00 90.00
Fractional positions:
Ca 0.0000 0.0000 0.0000
Ca 0.5000 0.5000 0.5000
Pt 0.0000 0.0000 0.6498
Pt 0.5000 0.5000 0.1498
Br 0.0000 0.0000 0.3563
Br 0.5000 0.5000 0.8563

Output
For the total magnetic moment, the calculation gives 0.0 Bohr magnetons per cell.

---

--- 2 ---
The following is a PBE calculation of a geometry-optimized CaPtBr structure, from Alexandria.

a b c (Å): 6.8451 6.8451 6.8451
angles (deg): 90.00 90.00 90.00
Fractional positions:
Ca 0.0000 0.0000 0.0000
Ca 0.0000 0.5000 0.5000
Ca 0.5000 0.0000 0.5000
Ca 0.5000 0.5000 0.0000
Pt 0.2500 0.2500 0.2500
Pt 0.2500 0.7500 0.7500
Pt 0.7500 0.2500 0.7500
Pt 0.7500 0.7500 0.2500
Br 0.2500 0.2500 0.7500
Br 0.2500 0.7500 0.2500
Br 0.7500 0.2500 0.2500
Br 0.7500 0.7500 0.7500

Output
For the total magnetic moment, the calculation gives 0.0 Bohr magnetons per cell.

---

What should be chosen as the least stable of them? Choose 2.